# 1
Material: SrErReN4
Method: DFT, PBE-GGA
State: optimized geometry

Cell lengths 5.851, 5.938, 7.036 Å; angles 90.00, 106.60, 90.00 degrees
Space group P2_1/m (No. 11)
Symmetry-distinct sites (fractional):
Sr  0.226  0.250  0.432 [2 per cell]
Er  0.306  0.250  0.961 [2 per cell]
Re  0.238  0.750  0.174 [2 per cell]
N  0.038  0.750  0.331 [2 per cell]
N  0.044  0.750  0.925 [2 per cell]
N  0.448  0.509  0.211 [4 per cell]

---

# 2
Material: MnSbP2
Method: DFT, PBE-GGA
State: optimized geometry

Cell lengths 6.519, 6.519, 6.519 Å; angles 90.00, 90.00, 90.00 degrees
Space group F-43m (No. 216)
Symmetry-distinct sites (fractional):
Mn  0.000  0.000  0.000 [4 per cell]
Sb  0.250  0.250  0.250 [4 per cell]
P  0.000  0.000  0.500 [4 per cell]
P  0.250  0.250  0.750 [4 per cell]

---

# 3
Material: Rb3TeF
Method: DFT, PBE-GGA
State: optimized geometry

Cell lengths 6.593, 14.070, 10.038 Å; angles 90.00, 90.00, 90.00 degrees
Space group Pnma (No. 62)
Symmetry-distinct sites (fractional):
Rb  0.001  0.092  0.158 [8 per cell]
Rb  0.001  0.250  0.477 [4 per cell]
Te  0.000  0.000  0.500 [4 per cell]
F  0.248  0.750  0.750 [4 per cell]

---

Record order is preserved below.
Energy relative to the elements, uncorrected: -0.89 0.61 -1.59 eV/atom
Record order is preserved below.
Calculated volume: 16.732 17.315 46.557 Å³/atom